Material: BWNO2
Method: DFT, GGA+U
State: relaxed

```
BWNO2
1.0
3.8880 0.0000 0.0000
0.0000 3.8880 0.0000
0.0000 0.0000 2.8534
B W N O
1 1 1 2
direct
0.0000 0.0000 0.0000
0.5000 0.5000 0.5000
0.0000 0.0000 0.5000
0.0000 0.5000 0.0000
0.5000 0.0000 0.0000
```

Summary:
Crystal system: tetragonal
Calculated density, g/cm³: 9.3
Final energy, eV/atom: -6.446
Magnetic moment, μB/cell: 1.1
Symmetry: P4/mmm